Computed, not measured: crystalline BaCrCd2F8 at its relaxed geometry at the PBE+U level of DFT.

Output
Magnetic moment ... 0.333 μB/atom
Raw total energy ... -58.1 eV/cell

The structure in CIF format:
```
data_BaCrCd2F8
_chemical_formula_sum 'Ba1 Cr1 Cd2 F8'
_space_group_name_H-M_alt 'P 1 2/m 1'
_space_group_IT_number 10
_cell_length_a 4.6863
_cell_length_b 7.4187
_cell_length_c 5.5984
_cell_angle_alpha 90.00
_cell_angle_beta 93.92
_cell_angle_gamma 90.00
loop_
_space_group_symop_operation_xyz
'x,y,z'
'-x,-y,-z'
'-x,y,-z'
'x,-y,z'
loop_
_atom_site_label
_atom_site_type_symbol
_atom_site_fract_x
_atom_site_fract_y
_atom_site_fract_z
Ba1 Ba 0.0000 0.0000 0.0000
Cr1 Cr 0.0000 0.5000 0.0000
Cd1 Cd 0.5000 0.2682 0.5000
F1 F 0.1078 0.2936 0.2398
F2 F 0.3796 0.5000 0.7347
F3 F 0.4460 0.0000 0.7277
```